# 1
! NdTl2Hg2Se4, optimized geometry, DFT GGA-PBE; values from VASP
! - Formation energy from raw total energies: -642 meV/atom
! - Uncorrected energy: -3.314 eV/atom
&SYSTEM
  ibrav = 0, nat = 9, ntyp = 4
/
ATOMIC_SPECIES
Hg 200.59 Hg.upf
Se 78.96 Se.upf
Tl 204.38 Tl.upf
Nd 144.24 Nd.upf
CELL_PARAMETERS angstrom
-3.448 -2.539 0.029
1.758 -2.297 7.832
-3.142 7.870 -0.628
ATOMIC_POSITIONS crystal
Hg 0.693 0.031 0.386
Hg 0.307 0.969 0.614
Se 0.522 0.771 0.044
Se 0.478 0.229 0.956
Se 0.804 0.751 0.607
Se 0.196 0.249 0.393
Tl 0.878 0.449 0.757
Tl 0.122 0.551 0.243
Nd 0.000 0.000 0.000

***

# 2
! Nd2SiHg, optimized geometry, DFT GGA-PBE; values from VASP
! - Formation energy from raw total energies: -463 meV/atom
! - Uncorrected energy: -4.278 eV/atom
&SYSTEM
  ibrav = 0, nat = 4, ntyp = 3
/
ATOMIC_SPECIES
Si 28.09 Si.upf
Nd 144.24 Nd.upf
Hg 200.59 Hg.upf
CELL_PARAMETERS angstrom
-3.042 -2.298 -2.111
-0.236 -4.317 0.543
-5.739 -1.242 5.123
ATOMIC_POSITIONS crystal
Si 0.000 0.000 0.000
Nd 0.736 0.736 0.791
Nd 0.264 0.264 0.209
Hg 0.500 0.500 0.500

***

# 3
! Nd6Si2Hg, optimized geometry, DFT GGA-PBE; values from VASP
! - Formation energy from raw total energies: -458 meV/atom
! - Uncorrected energy: -4.875 eV/atom
&SYSTEM
  ibrav = 0, nat = 18, ntyp = 3
/
ATOMIC_SPECIES
Si 28.09 Si.upf
Nd 144.24 Nd.upf
Hg 200.59 Hg.upf
CELL_PARAMETERS angstrom
-7.288 -2.070 4.469
6.601 -5.465 1.983
2.641 8.122 2.104
ATOMIC_POSITIONS crystal
Si 0.500 0.614 0.114
Si 0.500 0.386 0.886
Si 0.631 0.000 0.631
Si 0.369 0.000 0.369
Nd 0.203 0.754 0.957
Nd 0.705 0.028 0.323
Nd 0.295 0.618 0.323
Nd 0.548 0.727 0.821
Nd 0.797 0.754 0.550
Nd 0.094 0.273 0.821
Nd 0.203 0.246 0.450
Nd 0.797 0.246 0.043
Nd 0.705 0.382 0.677
Nd 0.295 0.972 0.677
Nd 0.906 0.727 0.179
Nd 0.452 0.273 0.179
Hg 0.000 0.000 0.000
Hg 0.000 0.500 0.500

***

# 4
! Nd5Si2Hg, optimized geometry, DFT GGA-PBE; values from VASP
! - Formation energy from raw total energies: -524 meV/atom
! - Uncorrected energy: -4.897 eV/atom
&SYSTEM
  ibrav = 0, nat = 16, ntyp = 3
/
ATOMIC_SPECIES
Si 28.09 Si.upf
Hg 200.59 Hg.upf
Nd 144.24 Nd.upf
CELL_PARAMETERS angstrom
7.039 0.000 -3.323
-1.568 6.862 -3.323
0.072 0.090 9.269
ATOMIC_POSITIONS crystal
Si 0.616 0.116 0.000
Si 0.116 0.384 0.000
Si 0.384 0.884 0.000
Si 0.884 0.616 0.000
Hg 0.750 0.750 0.500
Hg 0.250 0.250 0.500
Nd 0.536 0.685 0.721
Nd 0.464 0.315 0.279
Nd 0.964 0.464 0.279
Nd 0.500 0.500 0.000
Nd 0.815 0.964 0.279
Nd 0.000 0.000 0.000
Nd 0.685 0.185 0.721
Nd 0.185 0.036 0.721
Nd 0.036 0.536 0.721
Nd 0.315 0.815 0.279

***

# 5
! Nd2SiHg, optimized geometry, DFT GGA-PBE; values from VASP
! - Formation energy from raw total energies: -526 meV/atom
! - Uncorrected energy: -4.341 eV/atom
&SYSTEM
  ibrav = 0, nat = 8, ntyp = 3
/
ATOMIC_SPECIES
Nd 144.24 Nd.upf
Hg 200.59 Hg.upf
Si 28.09 Si.upf
CELL_PARAMETERS angstrom
4.286 0.000 0.000
0.000 6.167 -0.117
0.000 -3.232 8.293
ATOMIC_POSITIONS crystal
Nd 0.250 0.786 0.564
Nd 0.750 0.214 0.436
Nd 0.750 0.223 0.922
Nd 0.250 0.777 0.078
Hg 0.750 0.658 0.789
Hg 0.250 0.342 0.211
Si 0.750 0.667 0.289
Si 0.250 0.333 0.711

***

# 6
! Nd5SiHg2, optimized geometry, DFT GGA-PBE; values from VASP
! - Formation energy from raw total energies: -393 meV/atom
! - Uncorrected energy: -4.127 eV/atom
&SYSTEM
  ibrav = 0, nat = 16, ntyp = 3
/
ATOMIC_SPECIES
Hg 200.59 Hg.upf
Nd 144.24 Nd.upf
Si 28.09 Si.upf
CELL_PARAMETERS angstrom
-3.225 3.775 -1.656
-1.438 -3.671 -5.567
-9.867 -5.670 6.288
ATOMIC_POSITIONS crystal
Hg 0.500 0.399 0.847
Hg 0.500 0.601 0.153
Hg 0.500 0.101 0.347
Hg 0.500 0.899 0.653
Nd 0.000 0.847 0.214
Nd 0.000 0.500 0.000
Nd 0.500 0.349 0.597
Nd 0.000 0.153 0.786
Nd 0.500 0.151 0.097
Nd 0.500 0.849 0.903
Nd 0.000 0.347 0.286
Nd 0.500 0.651 0.403
Nd 0.000 0.653 0.714
Nd 0.000 0.000 0.500
Si 0.000 0.000 0.000
Si 0.000 0.500 0.500

***

# 7
! Nd2SiHg, optimized geometry, DFT GGA-PBE; values from VASP
! - Formation energy from raw total energies: -471 meV/atom
! - Uncorrected energy: -4.286 eV/atom
&SYSTEM
  ibrav = 0, nat = 4, ntyp = 3
/
ATOMIC_SPECIES
Si 28.09 Si.upf
Nd 144.24 Nd.upf
Hg 200.59 Hg.upf
CELL_PARAMETERS angstrom
-0.490 -3.742 0.520
0.998 0.378 3.657
-6.909 1.150 1.766
ATOMIC_POSITIONS crystal
Si 0.500 0.500 0.000
Nd 0.000 0.000 0.776
Nd 0.000 0.000 0.224
Hg 0.500 0.500 0.500

***

# 8
! Nd3SiHg, optimized geometry, DFT GGA-PBE; values from VASP
! - Formation energy from raw total energies: -449 meV/atom
! - Uncorrected energy: -4.454 eV/atom
&SYSTEM
  ibrav = 0, nat = 20, ntyp = 3
/
ATOMIC_SPECIES
Nd 144.24 Nd.upf
Hg 200.59 Hg.upf
Si 28.09 Si.upf
CELL_PARAMETERS angstrom
8.549 0.000 0.000
0.000 6.882 -2.184
0.000 1.569 9.211
ATOMIC_POSITIONS crystal
Nd 0.130 0.676 0.778
Nd 0.870 0.324 0.222
Nd 0.986 0.803 0.381
Nd 0.201 0.031 0.110
Nd 0.701 0.469 0.890
Nd 0.014 0.197 0.619
Nd 0.486 0.697 0.619
Nd 0.514 0.303 0.381
Nd 0.630 0.824 0.222
Nd 0.370 0.176 0.778
Nd 0.299 0.531 0.110
Nd 0.799 0.969 0.890
Hg 0.185 0.455 0.435
Hg 0.815 0.545 0.565
Hg 0.315 0.955 0.435
Hg 0.685 0.045 0.565
Si 0.960 0.680 0.063
Si 0.040 0.320 0.937
Si 0.540 0.180 0.063
Si 0.460 0.820 0.937

***

# 9
! SrNdSiHg, optimized geometry, DFT GGA-PBE; values from VASP
! - Formation energy from raw total energies: -380 meV/atom
! - Uncorrected energy: -3.424 eV/atom
&SYSTEM
  ibrav = 0, nat = 4, ntyp = 4
/
ATOMIC_SPECIES
Hg 200.59 Hg.upf
Si 28.09 Si.upf
Sr 87.62 Sr.upf
Nd 144.24 Nd.upf
CELL_PARAMETERS angstrom
5.387 0.000 0.000
2.693 4.665 0.000
2.693 1.555 4.398
ATOMIC_POSITIONS crystal
Hg 0.250 0.250 0.250
Si 0.750 0.750 0.750
Sr 0.500 0.500 0.500
Nd 0.000 0.000 0.000

***

# 10
! TbNdSiHg, optimized geometry, DFT GGA-PBE; values from VASP
! - Formation energy from raw total energies: -462 meV/atom
! - Uncorrected energy: -4.242 eV/atom
&SYSTEM
  ibrav = 0, nat = 4, ntyp = 4
/
ATOMIC_SPECIES
Hg 200.59 Hg.upf
Si 28.09 Si.upf
Nd 144.24 Nd.upf
Tb 158.93 Tb.upf
CELL_PARAMETERS angstrom
5.208 0.000 0.000
2.604 4.510 0.000
2.604 1.503 4.252
ATOMIC_POSITIONS crystal
Hg 0.250 0.250 0.250
Si 0.750 0.750 0.750
Nd 0.500 0.500 0.500
Tb 0.000 0.000 0.000

***

# 11
! Nd6Si2HgTe3, optimized geometry, DFT GGA-PBE; values from VASP
! - Formation energy from raw total energies: -1043 meV/atom
! - Uncorrected energy: -5.141 eV/atom
&SYSTEM
  ibrav = 0, nat = 12, ntyp = 4
/
ATOMIC_SPECIES
Te 127.60 Te.upf
Si 28.09 Si.upf
Nd 144.24 Nd.upf
Hg 200.59 Hg.upf
CELL_PARAMETERS angstrom
-2.041 0.477 3.840
-4.306 -7.783 -1.322
9.138 -2.732 2.705
ATOMIC_POSITIONS crystal
Te 0.500 0.500 0.000
Te 0.836 0.167 0.673
Te 0.164 0.833 0.327
Si 0.167 0.333 0.334
Si 0.833 0.667 0.666
Nd 0.327 0.432 0.654
Nd 0.670 0.107 0.339
Nd 0.991 0.741 0.983
Nd 0.673 0.568 0.346
Nd 0.330 0.893 0.661
Nd 0.009 0.259 0.017
Hg 0.500 0.000 0.000

***

The highest uncorrected energy belongs to which entry? NdTl2Hg2Se4

***

Please write out number 7 again, unchanged.
! Nd2SiHg, optimized geometry, DFT GGA-PBE; values from VASP
! - Formation energy from raw total energies: -471 meV/atom
! - Uncorrected energy: -4.286 eV/atom
&SYSTEM
  ibrav = 0, nat = 4, ntyp = 3
/
ATOMIC_SPECIES
Si 28.09 Si.upf
Nd 144.24 Nd.upf
Hg 200.59 Hg.upf
CELL_PARAMETERS angstrom
-0.490 -3.742 0.520
0.998 0.378 3.657
-6.909 1.150 1.766
ATOMIC_POSITIONS crystal
Si 0.500 0.500 0.000
Nd 0.000 0.000 0.776
Nd 0.000 0.000 0.224
Hg 0.500 0.500 0.500

***

Copy entry 9 word for word.
! SrNdSiHg, optimized geometry, DFT GGA-PBE; values from VASP
! - Formation energy from raw total energies: -380 meV/atom
! - Uncorrected energy: -3.424 eV/atom
&SYSTEM
  ibrav = 0, nat = 4, ntyp = 4
/
ATOMIC_SPECIES
Hg 200.59 Hg.upf
Si 28.09 Si.upf
Sr 87.62 Sr.upf
Nd 144.24 Nd.upf
CELL_PARAMETERS angstrom
5.387 0.000 0.000
2.693 4.665 0.000
2.693 1.555 4.398
ATOMIC_POSITIONS crystal
Hg 0.250 0.250 0.250
Si 0.750 0.750 0.750
Sr 0.500 0.500 0.500
Nd 0.000 0.000 0.000

***

What is the formula in the seventh record? Nd2SiHg